Entry 1:
The following is a DFT calculation (PBE) of a relaxed CsBa2Tl crystal.

Cell lengths 6.3815, 6.3815, 6.3815 Å; angles 60.00, 60.00, 60.00 degrees
Last column: nearest neighbours and their distance in Å.
Fractional positions:
Ba1 0.7500 0.7500 0.7500  4 Tl 3.91, 4 Cs 3.91
Ba2 0.2500 0.2500 0.2500  4 Tl 3.91, 4 Cs 3.91
Cs1 0.0000 0.0000 0.0000  8 Ba 3.91
Tl1 0.5000 0.5000 0.5000  8 Ba 3.91

Values from the calculation:
symmetry = No. 225
crystal system = cubic
energy above the most stable polymorph in this dataset = 0.1246 eV/atom
E_form = -1.1 kcal/mol of atoms

Entry 2:
The following is a DFT calculation (PBE) of a relaxed CsBa2Tl9 crystal.

Cell lengths 6.6845, 6.6845, 11.7061 Å; angles 73.41, 73.41, 60.00 degrees
Last column: nearest neighbours and their distance in Å.
Fractional positions:
Cs1 0.0000 0.0000 0.0000  6 Tl 3.86
Tl1 0.5000 0.5000 0.5000  6 Tl 3.33
Tl2 0.4124 0.4124 0.2559  7 Tl 3.30-3.49
Tl3 0.6639 0.6639 0.0083  6 Tl 3.36-3.49
Ba1 0.1392 0.1392 0.5825  12 Tl 3.79-4.08
Tl4 0.5876 0.5876 0.7441  7 Tl 3.30-3.49
Tl5 0.0808 0.5876 0.7441  7 Tl 3.30-3.49
Ba2 0.8608 0.8608 0.4175  12 Tl 3.79-4.08
Tl6 0.3361 0.3361 0.9917  6 Tl 3.36-3.49
Tl7 0.9192 0.4124 0.2559  7 Tl 3.30-3.49
Tl8 0.4124 0.9192 0.2559  7 Tl 3.30-3.49
Tl9 0.5876 0.0808 0.7441  7 Tl 3.30-3.49

Values from the calculation:
symmetry = No. 166
crystal system = trigonal
E_form = -4.4 kcal/mol of atoms

Entry 3:
The following is a DFT calculation (PBE) of a relaxed CsBa2V crystal.

Cell lengths 6.4408, 6.4408, 6.4408 Å; angles 60.00, 60.00, 60.00 degrees
Last column: nearest neighbours and their distance in Å.
Fractional positions:
Ba1 0.2500 0.2500 0.2500  4 Cs 3.94, 4 V 3.94
Cs1 0.5000 0.5000 0.5000  8 Ba 3.94
V1 0.0000 0.0000 0.0000  8 Ba 3.94
Ba2 0.7500 0.7500 0.7500  4 Cs 3.94, 4 V 3.94

Values from the calculation:
symmetry = No. 225
crystal system = cubic
E_form = 17.4 kcal/mol of atoms

Entry 4:
The following is a DFT calculation (PBE) of a relaxed CsBaV2 crystal.

Cell lengths 6.0376, 6.0376, 6.0376 Å; angles 60.00, 60.00, 60.00 degrees
Last column: nearest neighbours and their distance in Å.
Fractional positions:
V1 0.2500 0.2500 0.2500  4 Ba 3.70, 4 Cs 3.70
Cs1 0.0000 0.0000 0.0000  8 V 3.70
V2 0.7500 0.7500 0.7500  4 Ba 3.70, 4 Cs 3.70
Ba1 0.5000 0.5000 0.5000  8 V 3.70

Values from the calculation:
symmetry = No. 225
crystal system = cubic
E_form = 33.8 kcal/mol of atoms

Entry 5:
The following is a DFT calculation (PBE) of a relaxed CsBaV3 crystal.

Cell lengths 5.5133, 5.5133, 5.5133 Å; angles 90.00, 90.00, 90.00 degrees
Last column: nearest neighbours and their distance in Å.
Fractional positions:
V1 0.5000 0.0000 0.0000  2 Ba 2.76
Cs1 0.5000 0.5000 0.5000  12 V 3.90
V2 0.0000 0.0000 0.5000  2 Ba 2.76
Ba1 0.0000 0.0000 0.0000  6 V 2.76
V3 0.0000 0.5000 0.0000  2 Ba 2.76

Values from the calculation:
symmetry = No. 221
crystal system = cubic
energy above the most stable polymorph in this dataset = 0.1230 eV/atom
E_form = 55.2 kcal/mol of atoms

Entry 6:
The following is a DFT calculation (PBE) of a relaxed CsBaV3 crystal.

Cell lengths 5.2472, 5.2472, 5.2472 Å; angles 90.00, 90.00, 90.00 degrees
Last column: nearest neighbours and their distance in Å.
Fractional positions:
V1 0.0000 0.0000 0.5000  2 Cs 2.62
Ba1 0.5000 0.5000 0.5000  12 V 3.71
Cs1 0.0000 0.0000 0.0000  6 V 2.62
V2 0.0000 0.5000 0.0000  2 Cs 2.62
V3 0.5000 0.0000 0.0000  2 Cs 2.62

Values from the calculation:
symmetry = No. 221
crystal system = cubic
energy above the most stable polymorph in this dataset = 0.0000 eV/atom
E_form = 52.3 kcal/mol of atoms

Entry 7:
The following is a DFT calculation (PBE) of a relaxed CsBaW3 crystal.

Cell lengths 5.1426, 5.1426, 5.1426 Å; angles 90.00, 90.00, 90.00 degrees
Last column: nearest neighbours and their distance in Å.
Fractional positions:
Ba1 0.5000 0.5000 0.5000  12 W 3.64
W1 0.0000 0.0000 0.5000  2 Cs 2.57
W2 0.5000 0.0000 0.0000  2 Cs 2.57
Cs1 0.0000 0.0000 0.0000  6 W 2.57
W3 0.0000 0.5000 0.0000  2 Cs 2.57

Values from the calculation:
symmetry = No. 221
crystal system = cubic
E_form = 80.7 kcal/mol of atoms

Entry 8:
The following is a DFT calculation (PBE) of a relaxed CsBa3Y crystal.

Cell lengths 6.5055, 6.5055, 6.5055 Å; angles 90.00, 90.00, 90.00 degrees
Last column: nearest neighbours and their distance in Å.
Fractional positions:
Cs1 0.0000 0.0000 0.0000  6 Ba 3.25
Ba1 0.5000 0.0000 0.0000  2 Cs 3.25
Y1 0.5000 0.5000 0.5000  12 Ba 4.60
Ba2 0.0000 0.0000 0.5000  2 Cs 3.25
Ba3 0.0000 0.5000 0.0000  2 Cs 3.25

Values from the calculation:
symmetry = No. 221
crystal system = cubic
E_form = 19.1 kcal/mol of atoms

Entry 9:
The following is a DFT calculation (PBE) of a relaxed CsBaY3 crystal.

Cell lengths 5.9216, 5.9216, 5.9216 Å; angles 90.00, 90.00, 90.00 degrees
Last column: nearest neighbours and their distance in Å.
Fractional positions:
Y1 0.0000 0.0000 0.5000  2 Cs 2.96
Y2 0.0000 0.5000 0.0000  2 Cs 2.96
Cs1 0.0000 0.0000 0.0000  6 Y 2.96
Y3 0.5000 0.0000 0.0000  2 Cs 2.96
Ba1 0.5000 0.5000 0.5000  12 Y 4.19

Values from the calculation:
symmetry = No. 221
crystal system = cubic
energy above the most stable polymorph in this dataset = 0.0000 eV/atom
E_form = 21.4 kcal/mol of atoms

Entry 10:
The following is a DFT calculation (PBE) of a relaxed CsBa2Y crystal.

Cell lengths 6.8124, 6.8124, 6.8124 Å; angles 60.00, 60.00, 60.00 degrees
Last column: nearest neighbours and their distance in Å.
Fractional positions:
Cs1 0.5000 0.5000 0.5000  8 Ba 4.17
Y1 0.0000 0.0000 0.0000  8 Ba 4.17
Ba1 0.2500 0.2500 0.2500  4 Cs 4.17, 4 Y 4.17
Ba2 0.7500 0.7500 0.7500  4 Y 4.17, 4 Cs 4.17

Values from the calculation:
symmetry = No. 225
crystal system = cubic
E_form = 9.6 kcal/mol of atoms

Entry 11:
The following is a DFT calculation (PBE) of a relaxed CsBaY2 crystal.

Cell lengths 6.3709, 6.3709, 6.3709 Å; angles 60.00, 60.00, 60.00 degrees
Last column: nearest neighbours and their distance in Å.
Fractional positions:
Ba1 0.5000 0.5000 0.5000  8 Y 3.90
Cs1 0.0000 0.0000 0.0000  8 Y 3.90
Y1 0.7500 0.7500 0.7500  4 Ba 3.90, 4 Cs 3.90
Y2 0.2500 0.2500 0.2500  4 Ba 3.90, 4 Cs 3.90

Values from the calculation:
symmetry = No. 225
crystal system = cubic
E_form = 16.2 kcal/mol of atoms

Entry 12:
The following is a DFT calculation (PBE) of a relaxed Cs2BaZn2 crystal.

Cell lengths 8.7922, 8.7922, 6.4371 Å; angles 90.00, 90.00, 90.00 degrees
Last column: nearest neighbours and their distance in Å.
Fractional positions:
Zn1 0.1049 0.3951 0.0000  1 Zn 2.61
Zn2 0.3951 0.8951 0.0000  1 Zn 2.61
Ba1 0.0000 0.0000 0.0000  4 Zn 3.59
Cs1 0.3280 0.1720 0.5000  6 Zn 4.08-4.25, 1 Cs 4.28
Zn3 0.8951 0.6049 0.0000  1 Zn 2.61
Cs2 0.1720 0.6720 0.5000  6 Zn 4.08-4.25, 1 Cs 4.28
Cs3 0.6720 0.8280 0.5000  6 Zn 4.08-4.25, 1 Cs 4.28
Cs4 0.8280 0.3280 0.5000  6 Zn 4.08-4.25, 1 Cs 4.28
Ba2 0.5000 0.5000 0.0000  4 Zn 3.59
Zn4 0.6049 0.1049 0.0000  1 Zn 2.61

Values from the calculation:
symmetry = No. 127
crystal system = tetragonal
energy above the most stable polymorph in this dataset = 0.0000 eV/atom
E_form = 2.9 kcal/mol of atoms

Entry 13:
The following is a DFT calculation (PBE) of a relaxed CsBa2Zn2 crystal.

Cell lengths 6.2532, 6.2532, 7.0610 Å; angles 63.72, 63.72, 90.00 degrees
Last column: nearest neighbours and their distance in Å.
Fractional positions:
Ba1 0.2500 0.7500 0.5000  4 Zn 3.48
Ba2 0.7500 0.2500 0.5000  4 Zn 3.48
Cs1 0.0000 0.0000 0.0000  8 Ba 4.17, 10 Zn 4.27-4.59
Zn1 0.3882 0.3882 0.2237  1 Zn 2.46
Zn2 0.6118 0.6118 0.7763  1 Zn 2.46

Values from the calculation:
symmetry = No. 139
crystal system = tetragonal
energy above the most stable polymorph in this dataset = 0.0263 eV/atom
E_form = 1.1 kcal/mol of atoms

Entry 14:
The following is a DFT calculation (PBE) of a relaxed CsBa2Zn2 crystal.

Cell lengths 9.7003, 9.7003, 4.6417 Å; angles 90.00, 90.00, 90.00 degrees
Last column: nearest neighbours and their distance in Å.
Fractional positions:
Ba1 0.1511 0.6511 0.5000  4 Zn 3.50
Zn1 0.1168 0.3832 0.0000  1 Zn 3.20, 4 Ba 3.50
Ba2 0.8489 0.3489 0.5000  4 Zn 3.50
Cs1 0.0000 0.0000 0.0000  4 Zn 3.89
Zn2 0.6168 0.1168 0.0000  1 Zn 3.20, 4 Ba 3.50
Cs2 0.5000 0.5000 0.0000  4 Zn 3.89
Ba3 0.6511 0.8489 0.5000  4 Zn 3.50
Ba4 0.3489 0.1511 0.5000  4 Zn 3.50
Zn3 0.8832 0.6168 0.0000  1 Zn 3.20, 4 Ba 3.50
Zn4 0.3832 0.8832 0.0000  1 Zn 3.20, 4 Ba 3.50

Values from the calculation:
symmetry = No. 127
crystal system = tetragonal
energy above the most stable polymorph in this dataset = 0.0000 eV/atom
E_form = 0.5 kcal/mol of atoms